PPbSe2: optimized geometry, PBE-GGA.

Geometry as extended XYZ:
```
4
Lattice="3.756 -3.216 4.414 5.841 -3.051 0.711 2.871 3.256 1.762" Properties=species:S:1:pos:R:3 pbc="T T T"
P 5.089 -1.648 2.793
Se 3.235 -0.685 1.791
Se 0.241 0.250 0.147
Pb 10.136 -2.435 5.599
```

Symmetry ... Cm, No. 8
E_form (uncorrected) ... -0.4 eV per formula unit
Electronic total energy ... -16.4 eV for the cell shown
DOS(E_F) ... 0.2606 states/eV per atom
Excess energy over the best structure of this formula in the dataset ... 39 meV per atom
Magnetic moment ... 0.0 Bohr magnetons per cell

---

BaTa2Br: optimized geometry, PBE-GGA.

Geometry as extended XYZ:
```
4
Lattice="3.183 -0.011 0.000 -1.609 2.746 0.000 0.000 0.000 10.835" Properties=species:S:1:pos:R:3 pbc="T T T"
Br 0.787 1.367 8.127
Ba 0.787 1.367 2.709
Ta 0.000 0.000 10.455
Ta 0.000 0.000 5.798
```

Symmetry ... Cmmm, No. 65
E_form (uncorrected) ... 4.3 eV per formula unit
Electronic total energy ... -23.0 eV for the cell shown
DOS(E_F) ... 1.5084 states/eV per atom
Excess energy over the best structure of this formula in the dataset ... 932 meV per atom
Magnetic moment ... 0.0 Bohr magnetons per cell

---

La2RuCl: optimized geometry, PBE-GGA.

Geometry as extended XYZ:
```
4
Lattice="-7.231 -1.428 -3.108 -4.549 -2.767 -5.970 -5.475 -5.161 -2.716" Properties=species:S:1:pos:R:3 pbc="T T T"
La -8.897 -4.824 -6.081
La -16.985 -9.210 -11.610
Cl -12.941 -7.017 -8.846
Ru -4.314 -2.339 -2.949
```

Symmetry ... R-3m, No. 166
E_form (uncorrected) ... -4.0 eV per formula unit
Electronic total energy ... -25.0 eV for the cell shown
DOS(E_F) ... 0.5278 states/eV per atom
Excess energy over the best structure of this formula in the dataset ... 0 meV per atom
Magnetic moment ... 0.0 Bohr magnetons per cell

---

Sn2IrBr: optimized geometry, PBE-GGA.

Geometry as extended XYZ:
```
4
Lattice="0.000 3.539 3.539 3.539 0.000 3.539 3.539 3.539 0.000" Properties=species:S:1:pos:R:3 pbc="T T T"
Sn 5.309 5.309 5.309
Sn 1.770 1.770 1.770
Ir 3.539 3.539 3.539
Br 0.000 0.000 0.000
```

Symmetry ... Fm-3m, No. 225
E_form (uncorrected) ... 1.5 eV per formula unit
Electronic total energy ... -17.1 eV for the cell shown
DOS(E_F) ... 0.4588 states/eV per atom
Excess energy over the best structure of this formula in the dataset ... 333 meV per atom
Magnetic moment ... 0.0 Bohr magnetons per cell

---

> Which value of E_form (uncorrected) does entry 4 give?

1.5 eV per formula unit